Dy2TmMg5Sc2: optimized geometry, GGA-PBE.

## Properties
As for the density of states at the Fermi level: 14.21 states/eV/cell. The calculation puts the magnetization at 0.0 μB per formula unit. The crystal system is tetragonal. The calculation puts the density at 4.48 g/cm³. The calculation puts the total energy at -3.3979 eV per atom.

Cell and atoms, written as CIF:
```
data_Dy2TmMg5Sc2
_cell_length_a 10.279
_cell_length_b 10.279
_cell_length_c 4.947
_cell_angle_alpha 90.00
_cell_angle_beta 90.00
_cell_angle_gamma 90.00
_symmetry_space_group_name_H-M 'P 4/m b m'
_symmetry_Int_Tables_number 127
_symmetry_space_group_name_Hall '-P 4 2ab'
loop_
_atom_site_label
_atom_site_type_symbol
_atom_site_fract_x
_atom_site_fract_y
_atom_site_fract_z
Dy1 Dy 0.179 0.321 0.000
Tm1 Tm 0.000 0.000 0.000
Mg1 Mg 0.000 0.500 0.500
Mg2 Mg 0.069 0.797 0.500
Sc1 Sc 0.116 0.616 0.000
```

***

DyTmMgSc: optimized geometry, GGA-PBE.

## Properties
As for the density of states at the Fermi level: 16.00 states/eV/cell. The calculation puts the magnetization at 0.0 μB per formula unit. The crystal system is cubic. The calculation puts the density at 6.15 g/cm³. The calculation puts the total energy at -4.2171 eV per atom.

Cell and atoms, written as CIF:
```
data_DyTmMgSc
_cell_length_a 7.564
_cell_length_b 7.564
_cell_length_c 7.564
_cell_angle_alpha 90.00
_cell_angle_beta 90.00
_cell_angle_gamma 90.00
_symmetry_space_group_name_H-M 'F -4 3 m'
_symmetry_Int_Tables_number 216
_symmetry_space_group_name_Hall 'F -4 2 3'
loop_
_atom_site_label
_atom_site_type_symbol
_atom_site_fract_x
_atom_site_fract_y
_atom_site_fract_z
Dy1 Dy 0.000 0.000 0.000
Tm1 Tm 0.000 0.000 0.500
Mg1 Mg 0.250 0.250 0.250
Sc1 Sc 0.250 0.250 0.750
```